Here is an optimized crystal structure of YCuSi from Alexandria via LeMat-Bulk. Energies are from PBE.

a b c (Å): 3.9184 3.9925 14.2068
angles (deg): 90.00 90.00 90.00
Space group Imm2 (No. 44)
Unique sites:
Y (0.0000, 0.0000, 0.0000)
Y (0.0000, 0.0000, 0.3299)
Cu (0.0000, 0.0000, 0.7768)
Cu (0.0000, 0.5000, 0.6582)
Si (0.0000, 0.0000, 0.5455)
Si (0.0000, 0.5000, 0.1671)

Computed properties:
Calculated volume ... 55.6 Å³/f.u.

Here is an optimized crystal structure of YCuSi3 from Alexandria via LeMat-Bulk. Energies are from PBE.

a b c (Å): 4.5850 4.5850 4.5850
angles (deg): 90.00 90.00 90.00
Space group Pm-3m (No. 221)
Unique sites:
Y (0.0000, 0.0000, 0.0000)
Cu (0.5000, 0.5000, 0.5000)
Si (0.0000, 0.5000, 0.5000)

Computed properties:
Calculated volume ... 96.4 Å³/f.u.

Here is an optimized crystal structure of Y2CuSi from Alexandria via LeMat-Bulk. Energies are from PBE.

a b c (Å): 6.9534 6.9534 6.9534
angles (deg): 90.00 90.00 90.00
Space group F-43m (No. 216)
Unique sites:
Y (0.0000, 0.0000, 0.0000)
Y (0.2500, 0.2500, 0.2500)
Cu (0.0000, 0.0000, 0.5000)
Si (0.2500, 0.2500, 0.7500)

Computed properties:
Calculated volume ... 84.0 Å³/f.u.

Here is an optimized crystal structure of YCuSi from Alexandria via LeMat-Bulk. Energies are from PBE.

a b c (Å): 4.1550 4.1550 7.5000
angles (deg): 90.00 90.00 120.00
Space group P6_3/mmc (No. 194)
Unique sites:
Y (0.0000, 0.0000, 0.0000)
Cu (0.3333, 0.6667, 0.2500)
Si (0.3333, 0.6667, 0.7500)

Computed properties:
Calculated volume ... 56.1 Å³/f.u.

Here is an optimized crystal structure of Y2CuSi from Alexandria via LeMat-Bulk. Energies are from PBE.

a b c (Å): 5.4138 5.4138 16.2021
angles (deg): 90.00 90.00 90.00
Space group I-42d (No. 122)
Unique sites:
Y (0.2482, 0.2500, 0.1250)
Cu (0.0000, 0.0000, 0.0000)
Si (0.0000, 0.0000, 0.5000)

Computed properties:
Calculated volume ... 118.7 Å³/f.u.

Here is an optimized crystal structure of Y2CuSi from Alexandria via LeMat-Bulk. Energies are from PBE.

a b c (Å): 5.8473 4.1053 7.8786
angles (deg): 90.00 110.27 90.00
Space group P2_1/m (No. 11)
Unique sites:
Y (0.2095, 0.2500, 0.4169)
Y (0.2184, 0.2500, 0.9381)
Cu (0.3808, 0.7500, 0.2219)
Si (0.3475, 0.7500, 0.7110)

Computed properties:
Calculated volume ... 88.7 Å³/f.u.

Here is an optimized crystal structure of YZnCuSi2 from Alexandria via LeMat-Bulk. Energies are from PBE.

a b c (Å): 4.0213 4.0213 10.2740
angles (deg): 90.00 90.00 90.00
Space group I-4m2 (No. 119)
Unique sites:
Y (0.0000, 0.0000, 0.0000)
Zn (0.0000, 0.5000, 0.2500)
Cu (0.0000, 0.5000, 0.7500)
Si (0.0000, 0.0000, 0.3865)

Computed properties:
Calculated volume ... 83.1 Å³/f.u.

Here is an optimized crystal structure of YbZnCuSi2 from Alexandria via LeMat-Bulk. Energies are from PBE.

a b c (Å): 4.0355 4.0355 10.2554
angles (deg): 90.00 90.00 90.00
Space group I-4m2 (No. 119)
Unique sites:
Yb (0.0000, 0.0000, 0.0000)
Zn (0.0000, 0.5000, 0.7500)
Cu (0.0000, 0.5000, 0.2500)
Si (0.0000, 0.0000, 0.3861)

Computed properties:
Calculated volume ... 83.5 Å³/f.u.

Here is an optimized crystal structure of ZnCuSi from Alexandria via LeMat-Bulk. Energies are from PBE.

a b c (Å): 2.6994 3.7399 8.1457
angles (deg): 90.00 90.00 90.00
Space group Imm2 (No. 44)
Unique sites:
Zn (0.0000, 0.0000, 0.0000)
Cu (0.0000, 0.0000, 0.6666)
Si (0.0000, 0.0000, 0.3222)

Computed properties:
Calculated volume ... 41.1 Å³/f.u.
Energy above the lowest structure with this stoichiometry ... 0.27 eV/f.u.

Here is an optimized crystal structure of ZnCuSi2 from Alexandria via LeMat-Bulk. Energies are from PBE.

a b c (Å): 2.4843 4.7174 4.9301
angles (deg): 90.00 90.00 90.00
Space group Pmmm (No. 47)
Unique sites:
Zn (0.0000, 0.0000, 0.0000)
Cu (0.5000, 0.0000, 0.5000)
Si (0.0000, 0.5000, 0.5000)
Si (0.5000, 0.5000, 0.0000)

Computed properties:
Calculated volume ... 57.8 Å³/f.u.

Here is an optimized crystal structure of Zn5Cu4Si from Alexandria via LeMat-Bulk. Energies are from PBE.

a b c (Å): 13.0319 3.9447 6.2066
angles (deg): 90.00 117.76 90.00
Space group C2/m (No. 12)
Unique sites:
Zn (0.0000, 0.0000, 0.0000)
Zn (0.1630, 0.5000, 0.1312)
Zn (0.1861, 0.5000, 0.7450)
Cu (0.0150, 0.5000, 0.2918)
Cu (0.1715, 0.0000, 0.4314)
Si (0.0000, 0.0000, 0.5000)

Computed properties:
Calculated volume ... 141.2 Å³/f.u.

Here is an optimized crystal structure of Zn6Cu10Si from Alexandria via LeMat-Bulk. Energies are from PBE.

a b c (Å): 7.1664 7.1664 5.0230
angles (deg): 90.00 90.00 120.00
Space group P-31m (No. 162)
Unique sites:
Zn (0.0000, 0.3842, 0.2855)
Cu (0.0000, 0.2655, 0.8090)
Cu (0.3333, 0.6667, 0.0000)
Cu (0.3333, 0.6667, 0.5000)
Si (0.0000, 0.0000, 0.5000)

Computed properties:
Calculated volume ... 223.4 Å³/f.u.

Raw formation energy per entry: -0.413 0.250 0.225 -0.683 0.303 -0.550 -0.465 -0.435 0.144 0.304 -0.012 -0.021 eV/atom
Total moment per entry: 0.000 0.000 0.000 0.000 0.000 0.013 0.000 0.038 0.000 0.000 0.000 0.000 μB/atom